KLi2MoF8 | GGA+U | relaxed

Computed properties:
space-group type = P-1
uncorrected energy = -58.61 eV/cell
total magnetic moment = 1.0 μB/f.u.

Structure (POSCAR):
```
KLi2MoF8
1.0
4.9406 0.0000 0.0000
1.2367 4.7994 0.0000
0.1954 0.1500 7.6767
K Li Mo F
1 2 1 8
Direct
0.0000 0.0000 0.0000
0.4993 0.4993 0.8324
0.5007 0.5007 0.1676
0.0000 0.0000 0.5000
0.2213 0.7722 0.6834
0.2277 0.7785 0.3166
0.2398 0.2385 0.4969
0.3314 0.3303 0.0064
0.6686 0.6697 0.9936
0.7602 0.7615 0.5031
0.7723 0.2215 0.6834
0.7787 0.2278 0.3166
```